RbInSnP2: optimized geometry, PBE.

Cell and atoms, written as POSCAR:
```
RbInSnP2
1.0
5.5300 0.0000 0.0000
0.0000 5.7964 0.0000
0.0000 0.0000 5.5300
P Sn Rb In
2 1 1 1
direct
0.0000 0.0000 0.5000
0.5000 0.0000 0.0000
0.5000 0.5000 0.5000
0.0000 0.0000 0.0000
0.0000 0.5000 0.0000
```

Formation energy, meV/atom: 1461
Total energy, eV/atom: -2.2443
Calculated density, g/cm³: 3.6


Rb2InTeP: optimized geometry, PBE.

Cell and atoms, written as POSCAR:
```
Rb2InTeP
1.0
6.9430 0.0000 0.0000
0.0000 5.5727 0.0000
0.0000 0.0000 6.9430
P Te Rb In
1 1 2 1
direct
0.5000 0.5000 0.5000
0.0000 0.5000 0.0000
0.0000 0.0000 0.5000
0.5000 0.0000 0.0000
0.0000 0.0000 0.0000
```

Total energy, eV/atom: -2.3050
Calculated density, g/cm³: 2.7


RbIn2TeP: optimized geometry, PBE.

Cell and atoms, written as POSCAR:
```
RbIn2TeP
1.0
5.8902 0.0000 0.0000
0.0000 6.7894 0.0000
0.0000 0.0000 5.8902
P Te Rb In
1 1 1 2
direct
0.5000 0.5000 0.5000
0.0000 0.0000 0.0000
0.0000 0.5000 0.0000
0.0000 0.0000 0.5000
0.5000 0.0000 0.0000
```

Total energy, eV/atom: -2.4818
Calculated density, g/cm³: 3.3


Q: The lowest total energy belongs to which entry?
A: RbIn2TeP


Q: Look up the calculated density of the third one.
A: 3.3 g/cm³


Q: Which value of calculated density does entry 1 give?
A: 3.6 g/cm³


Q: Look up the total energy of the first one.
A: -2.2443 eV/atom